Entry from the Alexandria database: a relaxed structure of Cr2Hg2Rh (PBE-GGA).

The structure in CIF format:
```
data_Cr2Hg2Rh
_chemical_formula_sum 'Cr2 Hg2 Rh1'
_cell_length_a 3.181
_cell_length_b 3.181
_cell_length_c 8.592
_cell_angle_alpha 79.33
_cell_angle_beta 79.33
_cell_angle_gamma 90.00
_symmetry_space_group_name_H-M 'P 1'
_symmetry_Int_Tables_number 1
loop_
_symmetry_equiv_pos_as_xyz
'x,y,z'
loop_
_atom_site_label
_atom_site_type_symbol
_atom_site_fract_x
_atom_site_fract_y
_atom_site_fract_z
Hg1 Hg 0.394 0.394 0.212
Hg2 Hg 0.606 0.606 0.788
Cr1 Cr 0.750 0.250 0.500
Cr2 Cr 0.250 0.750 0.500
Rh1 Rh 0.000 0.000 0.000
```

Output
Excess energy over the best structure of this formula in the dataset: 0.00 eV/f.u.
Formation enthalpy at 0 K: 0.589 eV per atom
DOS(E_F): 0.6979 states/eV/atom
Symmetry: I4/mmm, No. 139